First-principles (PBE with a Hubbard U) data for a relaxed NiBi2BrF crystal, as listed in Alexandria.

Calculated values
The calculation puts the total moment at 0.000 μB per cell. The symmetry is P4/mmm. The offset from the most stable computed form comes out at 2.155 eV per formula unit.

The structure in extended XYZ format:
```
5
Lattice="4.8026 0.0000 0.0000 0.0000 4.8026 0.0000 0.0000 0.0000 5.3075" Properties=species:S:1:pos:R:3 pbc="T T T"
Ni 0.0000 0.0000 0.0000
Bi 0.0000 2.4013 2.6538
Bi 2.4013 0.0000 2.6538
Br 2.4013 2.4013 0.0000
F 2.4013 2.4013 2.6538
```